1.
NdBr3: single point on PBEsol structure, meta-GGA SCAN.

Cell: 4.065 6.870 9.052 Å, 90.00 90.00 107.21°
Positions (direct):
Nd 0.742 0.484 0.250
Nd 0.258 0.516 0.750
Br 0.351 0.702 0.065
Br 0.649 0.298 0.935
Br 0.914 0.829 0.750
Br 0.086 0.171 0.250
Br 0.351 0.702 0.435
Br 0.649 0.298 0.565

Summary:
Energy ... -1.015 hartree per atom
D(E_F) ... 0.00 states/eV per cell
Formation energy from raw total energies ... -2.12 eV/atom

---

2.
NdBr2: single point on PBEsol structure, meta-GGA SCAN.

Cell: 3.909 6.891 13.944 Å, 90.00 90.00 90.00°
Each line ends with the local moment (μB).
Positions (direct):
Nd 0.250 0.003 0.888  -0.44
Nd 0.750 0.997 0.112  -0.44
Nd 0.250 0.497 0.388  -0.44
Nd 0.750 0.503 0.612  -0.44
Br 0.750 0.784 0.455  -0.03
Br 0.250 0.216 0.545  -0.03
Br 0.250 0.743 0.210  -0.01
Br 0.250 0.284 0.045  -0.03
Br 0.250 0.757 0.710  -0.01
Br 0.750 0.257 0.790  -0.01
Br 0.750 0.716 0.955  -0.03
Br 0.750 0.243 0.290  -0.01

Summary:
Energy ... -1.078 hartree per atom
D(E_F) ... 3.67 states/eV per cell
Formation energy from raw total energies ... -1.85 eV/atom

---

3.
NdTeBrO3: single point on PBEsol structure, meta-GGA SCAN.

Cell: 3.877 3.877 26.426 Å, 90.00 90.00 90.00°
Positions (direct):
Nd 0.000 0.500 0.709
Nd 0.500 0.000 0.291
Nd 0.500 0.000 0.953
Nd 0.000 0.500 0.047
Te 0.500 0.000 0.795
Te 0.000 0.500 0.386
Te 0.000 0.500 0.205
Te 0.500 0.000 0.614
Br 0.500 0.000 0.450
Br 0.000 0.500 0.550
Br 0.500 0.000 0.108
Br 0.000 0.500 0.892
O 0.500 0.000 0.720
O 0.000 0.500 0.280
O 0.000 0.000 0.776
O 0.500 0.500 0.351
O 0.000 0.000 0.351
O 0.500 0.500 0.224
O 0.000 0.000 0.649
O 0.000 0.000 0.224
O 0.500 0.500 0.000
O 0.500 0.500 0.776
O 0.500 0.500 0.649
O 0.000 0.000 0.000

Summary:
Energy ... -0.806 hartree per atom
Formation energy from raw total energies ... -2.09 eV/atom

---

4.
Nd3S2Br5: single point on PBEsol structure, meta-GGA SCAN.

Cell: 6.788 7.174 22.151 Å, 90.00 90.00 90.00°
Positions (direct):
Nd 0.054 0.379 0.397
Nd 0.554 0.121 0.603
Nd 0.446 0.879 0.103
Nd 0.946 0.621 0.897
Nd 0.946 0.621 0.603
Nd 0.446 0.879 0.397
Nd 0.554 0.121 0.897
Nd 0.054 0.379 0.103
Nd 0.945 0.045 0.750
Nd 0.445 0.455 0.250
Nd 0.555 0.545 0.750
Nd 0.055 0.955 0.250
S 0.694 0.834 0.826
S 0.194 0.666 0.326
S 0.694 0.834 0.674
S 0.306 0.166 0.174
S 0.806 0.334 0.826
S 0.806 0.334 0.674
S 0.306 0.166 0.326
S 0.194 0.666 0.174
Br 0.630 0.834 0.250
Br 0.130 0.666 0.750
Br 0.870 0.334 0.250
Br 0.370 0.166 0.750
Br 0.353 0.482 0.620
Br 0.353 0.482 0.880
Br 0.853 0.018 0.380
Br 0.147 0.982 0.880
Br 0.647 0.518 0.120
Br 0.647 0.518 0.380
Br 0.147 0.982 0.620
Br 0.853 0.018 0.120
Br 0.166 0.679 0.019
Br 0.666 0.821 0.981
Br 0.334 0.179 0.481
Br 0.834 0.321 0.519
Br 0.834 0.321 0.981
Br 0.334 0.179 0.019
Br 0.666 0.821 0.519
Br 0.166 0.679 0.481

Summary:
Energy ... -0.990 hartree per atom
D(E_F) ... 0.00 states/eV per cell
Formation energy from raw total energies ... -2.21 eV/atom

---

5.
Ni2Br: single point on PBEsol structure, meta-GGA SCAN.

Cell: 3.203 3.203 4.848 Å, 90.00 90.00 120.00°
Each line ends with the local moment (μB).
Positions (direct):
Br 0.000 0.000 0.000  0.00
Ni 0.667 0.333 0.350  0.54
Ni 0.333 0.667 0.650  0.54

Summary:
Energy ... -0.619 hartree per atom
D(E_F) ... 1.12 states/eV per cell
Formation energy from raw total energies ... 0.43 eV/atom

---

6.
NiBr5: single point on PBEsol structure, meta-GGA SCAN.

Cell: 4.975 4.975 7.061 Å, 90.00 90.00 120.00°
Each line ends with the local moment (μB).
Positions (direct):
Br 0.333 0.333 0.000  0.01
Br 0.667 0.000 0.000  0.01
Br 0.000 0.667 0.000  0.01
Br 0.333 0.667 0.500  0.07
Br 0.667 0.333 0.500  0.07
Ni 0.000 0.000 0.500  1.25

Summary:
Energy ... -0.675 hartree per atom
D(E_F) ... 4.23 states/eV per cell
Formation energy from raw total energies ... 0.55 eV/atom

---

7.
Ni5Se4Br2O12: single point on PBEsol structure, meta-GGA SCAN.

Cell: 6.426 7.501 7.557 Å, 67.81 73.73 82.00°
Each line ends with the local moment (μB).
Positions (direct):
Ni 0.500 0.000 0.000  1.63
Ni 0.368 0.309 0.584  1.67
Ni 0.632 0.691 0.416  1.67
Ni 0.822 0.874 0.648  1.66
Ni 0.178 0.126 0.352  1.66
Se 0.841 0.308 0.689  0.02
Se 0.159 0.692 0.311  0.02
Se 0.291 0.831 0.776  0.03
Se 0.709 0.169 0.224  0.03
Br 0.691 0.663 0.025  0.11
Br 0.309 0.337 0.975  0.11
O 0.084 0.305 0.514  0.09
O 0.916 0.695 0.486  0.09
O 0.864 0.095 0.393  0.09
O 0.136 0.905 0.607  0.09
O 0.337 0.046 0.794  0.09
O 0.663 0.954 0.206  0.09
O 0.456 0.204 0.369  0.09
O 0.544 0.796 0.631  0.09
O 0.662 0.405 0.537  0.09
O 0.338 0.595 0.463  0.09
O 0.769 0.069 0.787  0.08
O 0.231 0.931 0.213  0.08

Summary:
Energy ... -0.478 hartree per atom
D(E_F) ... 0.00 states/eV per cell
Formation energy from raw total energies ... -1.04 eV/atom

---

8.
NiPBr4: single point on PBEsol structure, meta-GGA SCAN.

Cell: 5.881 5.881 5.881 Å, 60.00 60.00 60.00°
Each line ends with the local moment (μB).
Positions (direct):
Br 0.375 0.375 0.375  0.03
Br 0.375 0.375 0.874  0.03
Br 0.874 0.375 0.375  0.03
Br 0.375 0.874 0.375  0.03
Ni 0.750 0.750 0.750  1.08
P 0.000 0.000 0.000  1.01

Summary:
Energy ... -0.585 hartree per atom
D(E_F) ... 11.30 states/eV per cell
Formation energy from raw total energies ... 1.49 eV/atom